[1]
# Pr4NiSb2

An optimized crystal structure of Pr4NiSb2 (PBE, the Alexandria database).

Cell: 7.0930 6.5577 9.4896 Å, 90.00 108.61 90.00°
Space group P2_1/m (No. 11)
One atom of each set of equivalent atoms:
Pr 0.0151 0.0048 0.2745 [4 per cell]
Pr 0.3844 0.7500 0.0756 [2 per cell]
Pr 0.4423 0.7500 0.6324 [2 per cell]
Ni 0.3415 0.7500 0.3357 [2 per cell]
Sb 0.2164 0.2500 0.0419 [2 per cell]
Sb 0.2748 0.2500 0.5810 [2 per cell]

N(E_F), states/eV/f.u.: 6.64
V, Å³/atom: 29.88
Total magnetic moment, μB/atom: 0.0000
Raw formation energy, meV/atom: -672

[2]
# HfTcRh3

An optimized crystal structure of HfTcRh3 (PBE, the Alexandria database).

Cell: 4.7149 4.7149 4.7149 Å, 90.00 90.00 90.00°
Space group Pm-3m (No. 221)
One atom of each set of equivalent atoms:
Hf 0.0000 0.0000 0.0000 [1 per cell]
Tc 0.5000 0.5000 0.5000 [1 per cell]
Rh 0.0000 0.0000 0.5000 [3 per cell]

ΔH_f (0 K), eV/atom: 1.160
N(E_F), states/eV/f.u.: 2.49
V, Å³/atom: 20.96
Total magnetic moment, μB/atom: 0.8654